A plane-wave DFT calculation with GGA-PBEsol was carried out for a geometry-optimized Sn3HS structure.

Cell lengths 5.302, 5.302, 5.302 Å; angles 90.00, 90.00, 90.00 degrees
Fractional positions:
Sn 0.000 0.000 0.500
Sn 0.000 0.500 0.000
Sn 0.500 0.000 0.000
H 0.500 0.500 0.500
S 0.000 0.000 0.000

Values from the calculation:
The calculation puts the calculated total energy at -3.29 eV/atom.

=====

A plane-wave DFT calculation with GGA-PBEsol was carried out for a geometry-optimized Ca2ZnFe structure.

Cell lengths 5.076, 5.076, 3.421 Å; angles 90.00, 90.00, 90.00 degrees
Fractional positions:
Ca 0.000 0.500 0.000
Ca 0.500 0.000 0.000
Zn 0.000 0.000 0.500
Fe 0.500 0.500 0.500

Values from the calculation:
The formation enthalpy at 0 K comes out at 0.33 eV/atom.

=====

A plane-wave DFT calculation with GGA-PBEsol was carried out for a geometry-optimized CuIrRh2I structure.

Cell lengths 4.707, 4.707, 4.506 Å; angles 90.00, 90.00, 90.00 degrees
Fractional positions:
Cu 0.000 0.000 0.000
Ir 0.500 0.500 0.000
Rh 0.000 0.500 0.500
Rh 0.500 0.000 0.500
I 0.000 0.000 0.500

Values from the calculation:
The uncorrected formation energy is 9.16 eV per formula unit.

=====

A plane-wave DFT calculation with GGA-PBEsol was carried out for a geometry-optimized TaCo2HgI structure.

Cell lengths 4.467, 4.467, 5.071 Å; angles 90.00, 90.00, 90.00 degrees
Fractional positions:
Ta 0.000 0.000 0.000
Co 0.000 0.500 0.500
Co 0.500 0.000 0.500
Hg 0.500 0.500 0.000
I 0.000 0.000 0.500

Values from the calculation:
The uncorrected formation energy is 7.49 eV per formula unit.

=====

| no. | total magnetic moment (μB per formula unit) |
| --- | --- |
| 1 | 0.34 |
| 2 | 2.27 |
| 3 | 1.30 |
| 4 | 1.54 |